# 1
CaAlI2: relaxed, GGA-PBE.

Lattice parameters (Å, degrees): 7.3660 7.3660 7.3660 106.12 106.12 116.41
With the nearest neighbours (Å) after each atom.
Sites, in units of the cell vectors:
Ca1 0.0000 0.0000 0.0000  4 I 3.12
Ca2 0.7500 0.2500 0.5000  4 I 3.12
Al1 0.2500 0.7500 0.5000  4 I 3.45
Al2 0.5000 0.5000 0.0000  4 I 3.45
I1 0.0974 0.6250 0.9724  2 Ca 3.12, 2 Al 3.45
I2 0.3750 0.3474 0.4724  2 Ca 3.12, 2 Al 3.45
I3 0.6526 0.1250 0.0276  2 Ca 3.12, 2 Al 3.45
I4 0.8750 0.9026 0.5276  2 Ca 3.12, 2 Al 3.45

Its raw total energy is -21.620 eV per cell. The density of states at the Fermi level comes out at 0.664 states/eV/cell. The total magnetic moment is 2.0 μB per cell. The polymorph energy (0 for the lowest one) comes out at 0 meV/atom.

***

# 2
ScBeSb3: relaxed, GGA-PBE.

Lattice parameters (Å, degrees): 4.9548 4.9548 4.9548 90.00 90.00 90.00
With the nearest neighbours (Å) after each atom.
Sites, in units of the cell vectors:
Sc1 0.0000 0.0000 0.0000  12 Sb 3.50
Be1 0.5000 0.5000 0.5000  6 Sb 2.48
Sb1 0.0000 0.5000 0.5000  2 Be 2.48
Sb2 0.5000 0.0000 0.5000  2 Be 2.48
Sb3 0.5000 0.5000 0.0000  2 Be 2.48

Its raw total energy is -21.068 eV per cell. The density of states at the Fermi level comes out at 4.920 states/eV/cell. The total magnetic moment is 0.0 μB per cell. The polymorph energy (0 for the lowest one) comes out at 0 meV/atom.

***

# 3
BaCoNi2: relaxed, GGA-PBE.

Lattice parameters (Å, degrees): 4.6731 4.6731 4.6731 60.00 60.00 60.00
With the nearest neighbours (Å) after each atom.
Sites, in units of the cell vectors:
Ba1 0.0000 0.0000 0.0000  8 Ni 2.86
Co1 0.5000 0.5000 0.5000  8 Ni 2.86
Ni1 0.2500 0.2500 0.2500  4 Ba 2.86, 4 Co 2.86
Ni2 0.7500 0.7500 0.7500  4 Ba 2.86, 4 Co 2.86

Its raw total energy is -17.209 eV per cell. The calculation puts the energy of formation at 0.846 eV/atom. The density of states at the Fermi level comes out at 5.556 states/eV/cell. The total magnetic moment is 1.9 μB per cell.

***

# 4
TcOsSN2: relaxed, GGA-PBE.

Lattice parameters (Å, degrees): 3.7738 3.7738 5.1280 90.00 90.00 90.00
With the nearest neighbours (Å) after each atom.
Sites, in units of the cell vectors:
Tc1 0.0000 0.0000 0.0000  4 N 1.89
Os1 0.5000 0.5000 0.5000  4 S 2.67
S1 0.0000 0.0000 0.5000  2 Tc 2.56, 4 Os 2.67
N1 0.0000 0.5000 0.0000  2 Tc 1.89
N2 0.5000 0.0000 0.0000  2 Tc 1.89

Its raw total energy is -35.481 eV per cell. The density of states at the Fermi level comes out at 6.399 states/eV/cell. The total magnetic moment is 3.3 μB per cell. The polymorph energy (0 for the lowest one) comes out at 362 meV/atom.

***

# 5
SrCa3Zn4: relaxed, GGA-PBE.

Lattice parameters (Å, degrees): 5.3350 5.3350 7.3308 90.00 90.00 90.00
With the nearest neighbours (Å) after each atom.
Sites, in units of the cell vectors:
Sr1 0.0000 0.0000 0.0000  8 Zn 3.30, 2 Ca 3.67
Ca1 0.0000 0.0000 0.5000  8 Zn 3.18
Ca2 0.5000 0.5000 0.0000  8 Zn 3.30, 2 Ca 3.67
Ca3 0.5000 0.5000 0.5000  8 Zn 3.18
Zn1 0.0000 0.5000 0.2639  6 Ca 3.18-3.30, 2 Sr 3.30, 1 Zn 3.46
Zn2 0.0000 0.5000 0.7361  6 Ca 3.18-3.30, 2 Sr 3.30, 1 Zn 3.46
Zn3 0.5000 0.0000 0.2639  6 Ca 3.18-3.30, 2 Sr 3.30, 1 Zn 3.46
Zn4 0.5000 0.0000 0.7361  6 Ca 3.18-3.30, 2 Sr 3.30, 1 Zn 3.46

Its raw total energy is -14.478 eV per cell. The calculation puts the energy of formation at -0.212 eV/atom. The density of states at the Fermi level comes out at 5.739 states/eV/cell. The total magnetic moment is 0.0 μB per cell.

***

# 6
ZrCo2CuSn: relaxed, GGA-PBE.

Lattice parameters (Å, degrees): 4.6179 4.6179 4.5589 90.00 90.00 90.00
With the nearest neighbours (Å) after each atom.
Sites, in units of the cell vectors:
Zr1 0.0000 0.0000 0.0000  8 Co 3.24, 4 Cu 3.27
Co1 0.0000 0.5000 0.5000  2 Sn 2.31
Co2 0.5000 0.0000 0.5000  2 Sn 2.31
Cu1 0.5000 0.5000 0.0000  2 Sn 2.28
Sn1 0.5000 0.5000 0.5000  2 Cu 2.28, 4 Co 2.31

Its raw total energy is -26.252 eV per cell. The calculation puts the energy of formation at 0.921 eV/atom. The density of states at the Fermi level comes out at 5.252 states/eV/cell. The total magnetic moment is 1.9 μB per cell.

***

# 7
Rb3Th2TlTe6: relaxed, GGA-PBE.

Lattice parameters (Å, degrees): 11.0952 11.0952 10.2866 105.69 105.69 24.47
With the nearest neighbours (Å) after each atom.
Sites, in units of the cell vectors:
Rb1 0.0000 0.0000 0.0000  6 Te 3.58-3.76
Rb2 0.3454 0.3454 0.6626  6 Te 3.68-3.89
Rb3 0.6546 0.6546 0.3374  6 Te 3.68-3.89
Th1 0.3351 0.3351 0.1679  6 Te 2.98-3.27
Th2 0.6649 0.6649 0.8321  6 Te 2.98-3.27
Tl1 0.0000 0.0000 0.5000  6 Te 3.45-3.59
Te1 0.1714 0.1714 0.6320  2 Th 3.15
Te2 0.1786 0.1786 0.0540  3 Th 3.23-3.27
Te3 0.4781 0.4781 0.2456  1 Th 2.98
Te4 0.5219 0.5219 0.7544  1 Th 2.98
Te5 0.8214 0.8214 0.9460  3 Th 3.23-3.27
Te6 0.8286 0.8286 0.3680  2 Th 3.15

Its raw total energy is -52.301 eV per cell. The total magnetic moment is 0.0 μB per cell.

***

# 8
Rb3Bi2Cl9: relaxed, GGA-PBE.

Lattice parameters (Å, degrees): 9.8984 9.8984 9.8984 83.31 83.31 83.31
With the nearest neighbours (Å) after each atom.
Sites, in units of the cell vectors:
Rb1 0.0781 0.7500 0.4219  12 Cl 3.72-3.94
Rb2 0.2500 0.5781 0.9219  12 Cl 3.72-3.94
Rb3 0.4219 0.0781 0.7500  12 Cl 3.72-3.94
Rb4 0.5781 0.9219 0.2500  12 Cl 3.72-3.94
Rb5 0.7500 0.4219 0.0781  12 Cl 3.72-3.94
Rb6 0.9219 0.2500 0.5781  12 Cl 3.72-3.94
Bi1 0.1492 0.1492 0.1492  6 Cl 2.62-2.88
Bi2 0.3508 0.3508 0.3508  6 Cl 2.62-2.88
Bi3 0.6492 0.6492 0.6492  6 Cl 2.62-2.88
Bi4 0.8508 0.8508 0.8508  6 Cl 2.62-2.88
Cl1 0.0780 0.2649 0.9124  1 Bi 2.62
Cl2 0.0864 0.4136 0.2500  2 Bi 2.88
Cl3 0.0876 0.9220 0.7351  1 Bi 2.62
Cl4 0.2351 0.4220 0.5876  1 Bi 2.62
Cl5 0.2500 0.0864 0.4136  2 Bi 2.88
Cl6 0.2649 0.9124 0.0780  1 Bi 2.62
Cl7 0.4124 0.7649 0.5780  1 Bi 2.62
Cl8 0.4136 0.2500 0.0864  2 Bi 2.88
Cl9 0.4220 0.5876 0.2351  1 Bi 2.62
Cl10 0.5780 0.4124 0.7649  1 Bi 2.62
Cl11 0.5864 0.7500 0.9136  2 Bi 2.88
Cl12 0.5876 0.2351 0.4220  1 Bi 2.62
Cl13 0.7351 0.0876 0.9220  1 Bi 2.62
Cl14 0.7500 0.9136 0.5864  2 Bi 2.88
Cl15 0.7649 0.5780 0.4124  1 Bi 2.62
Cl16 0.9124 0.0780 0.2649  1 Bi 2.62
Cl17 0.9136 0.5864 0.7500  2 Bi 2.88
Cl18 0.9220 0.7351 0.0876  1 Bi 2.62

Its raw total energy is -94.758 eV per cell. The density of states at the Fermi level comes out at 0.000 states/eV/cell. The total magnetic moment is 0.0 μB per cell.